Entry from Alexandria: an optimized crystal structure of Cd2TcSnO (PBE).

Lattice parameters (Å, degrees): 5.4194 5.3212 5.4194 90.00 90.00 90.00
Each line ends with the local moment (μB).
Sites, in units of the cell vectors:
Tc  0.0000  0.5000  0.0000  3.34
Sn  0.0000  0.0000  0.0000  -0.02
O  0.5000  0.5000  0.5000  0.95
Cd  0.0000  0.0000  0.5000  0.00
Cd  0.5000  0.0000  0.0000  0.01

Properties
Total moment (μB/f.u.): 5.0
Energy relative to the elements, uncorrected (eV per atom): 1.319
Raw total energy (eV per atom): -2.91
Crystal system: tetragonal
V (Å³ per cell): 156.3


Entry from Alexandria: an optimized crystal structure of Dy2SiI (PBE).

Lattice parameters (Å, degrees): 4.2020 7.1602 7.7492 90.00 90.00 90.00
Sites, in units of the cell vectors:
Dy  0.2500  0.4925  0.1968
Dy  0.7500  0.5075  0.8032
Dy  0.7500  0.9925  0.8032
Dy  0.2500  0.0075  0.1968
Si  0.7500  0.2500  0.0871
Si  0.2500  0.7500  0.9129
I  0.2500  0.2500  0.5718
I  0.7500  0.7500  0.4282

Properties
Total moment (μB/f.u.): 0.0
Energy relative to the elements, uncorrected (eV per atom): -0.776
Raw total energy (eV per atom): -4.82
Polymorph energy (0 for the lowest one) (meV per atom): 110
Crystal system: orthorhombic
V (Å³ per cell): 233.2


Entry from Alexandria: an optimized crystal structure of CaLa2NdSm5 (PBE).

Lattice parameters (Å, degrees): 8.7966 8.7966 10.3218 115.22 115.22 90.00
Sites, in units of the cell vectors:
Ca  0.2500  0.7500  0.5000
Ca  0.7500  0.2500  0.5000
La  0.1185  0.3815  0.0000
La  0.6185  0.1185  0.0000
La  0.3815  0.8815  0.0000
La  0.8815  0.6185  0.0000
Nd  0.2500  0.2500  0.5000
Nd  0.7500  0.7500  0.5000
Sm  0.9208  0.4208  0.2778
Sm  0.6430  0.1430  0.7222
Sm  0.0792  0.5792  0.7222
Sm  0.1430  0.0792  0.7222
Sm  0.5792  0.6430  0.7222
Sm  0.8570  0.9208  0.2778
Sm  0.4208  0.3570  0.2778
Sm  0.3570  0.8570  0.2778
Sm  0.5000  0.5000  0.0000
Sm  0.0000  0.0000  0.0000

Properties
Total moment (μB/f.u.): 0.0
Raw total energy (eV per atom): -4.21
Formation energy from the elements (eV/atom): 0.257
Crystal system: tetragonal
V (Å³ per cell): 637.4


Entry from Alexandria: an optimized crystal structure of BaIr3Pd2S8 (PBE).

Lattice parameters (Å, degrees): 7.3270 7.3270 7.6756 61.49 61.49 60.00
Sites, in units of the cell vectors:
Ba  0.8682  0.8682  0.3953
Ir  0.5009  0.0034  0.9947
Ir  0.0034  0.5009  0.9947
Ir  0.5009  0.5009  0.9947
Pd  0.1016  0.1016  0.6953
Pd  0.5011  0.5011  0.4968
S  0.2730  0.2730  0.1810
S  0.7235  0.7235  0.8294
S  0.2614  0.2614  0.7763
S  0.7009  0.2614  0.7763
S  0.2614  0.7009  0.7763
S  0.7321  0.3320  0.2037
S  0.3320  0.7321  0.2037
S  0.7321  0.7321  0.2037

Properties
Total moment (μB/f.u.): 0.0
Energy relative to the elements, uncorrected (eV per atom): -0.409
Raw total energy (eV per atom): -5.55
Crystal system: trigonal
V (Å³ per cell): 297.8


Entry from Alexandria: an optimized crystal structure of SrLa2AsAu (PBE).

Lattice parameters (Å, degrees): 5.8182 5.3734 5.8182 90.00 90.00 90.00
Sites, in units of the cell vectors:
Sr  0.5000  0.5000  0.5000
As  0.0000  0.5000  0.0000
Au  0.0000  0.0000  0.0000
La  0.0000  0.0000  0.5000
La  0.5000  0.0000  0.0000

Properties
Total moment (μB/f.u.): 0.0
Raw total energy (eV per atom): -3.96
Formation energy from the elements (eV/atom): -0.071
Crystal system: tetragonal
V (Å³ per cell): 181.9


Entry from Alexandria: an optimized crystal structure of ZnHgMo2 (PBE).

Lattice parameters (Å, degrees): 4.9159 4.9159 5.2020 85.34 85.34 32.45
Sites, in units of the cell vectors:
Hg  0.2506  0.2506  0.2664
Mo  0.9976  0.9976  0.9701
Mo  0.7539  0.7539  0.7649
Zn  0.4979  0.4979  0.4987

Properties
Total moment (μB/f.u.): 0.0
Raw total energy (eV per atom): -5.41
Polymorph energy (0 for the lowest one) (meV per atom): 128
Formation energy from the elements (eV/atom): 0.397
Crystal system: monoclinic
V (Å³ per cell): 67.2


Entry from Alexandria: an optimized crystal structure of InTePt4 (PBE).

Lattice parameters (Å, degrees): 5.4154 5.4154 5.4154 60.00 60.00 60.00
Sites, in units of the cell vectors:
In  0.0000  0.0000  0.0000
Te  0.7500  0.7500  0.7500
Pt  0.8748  0.3751  0.3751
Pt  0.3751  0.3751  0.8748
Pt  0.3751  0.8748  0.3751
Pt  0.3751  0.3751  0.3751

Properties
Total moment (μB/f.u.): 0.0
Energy relative to the elements, uncorrected (eV per atom): 0.017
Raw total energy (eV per atom): -4.99
Crystal system: cubic
V (Å³ per cell): 112.3


Entry from Alexandria: an optimized crystal structure of CuBr2O (PBE).

Lattice parameters (Å, degrees): 5.1077 5.1077 7.4007 69.81 69.81 90.00
Sites, in units of the cell vectors:
O  0.5000  0.5000  0.0000
O  0.2500  0.7500  0.5000
Cu  0.0000  0.0000  0.0000
Cu  0.7500  0.2500  0.5000
Br  0.5964  0.1250  0.2500
Br  0.1536  0.6250  0.2500
Br  0.3750  0.4036  0.7500
Br  0.8750  0.8464  0.7500

Properties
Total moment (μB/f.u.): 0.0
Energy relative to the elements, uncorrected (eV per atom): 0.448
Raw total energy (eV per atom): -2.65
Polymorph energy (0 for the lowest one) (meV per atom): 0
Crystal system: tetragonal
V (Å³ per cell): 168.5